The following is a GGA-PBE calculation of a relaxed structure of MoPPt2, from Alexandria via LeMat-Bulk.

Output
E_form, meV/atom: -290
Volume, Å³ per cell: 121.3
Total magnetic moment, μB per formula unit: 0.0
Raw total energy, eV/atom: -7.37
Symmetry: Amm2 (38)

a = 3.5511 Å, b = 3.1083 Å, c = 10.9890 Å
α = 90.00°, β = 90.00°, γ = 90.00°
Last column: nearest neighbours and their distance in Å.
Element x y z (fractional)
Mo (0.0000, 0.0000, 0.0000)  4 P 2.53, 4 Pt 2.83
Mo (0.0000, 0.5000, 0.5000)  4 P 2.53, 4 Pt 2.83
P (0.5000, 0.0000, 0.5818)  3 Pt 2.36-2.46, 4 Mo 2.53
P (0.5000, 0.5000, 0.0818)  3 Pt 2.36-2.46, 4 Mo 2.53
Pt (0.0000, 0.0000, 0.7236)  2 P 2.36
Pt (0.0000, 0.5000, 0.2236)  2 P 2.36
Pt (0.5000, 0.0000, 0.3583)  1 P 2.46
Pt (0.5000, 0.5000, 0.8583)  1 P 2.46